## YTc4Ge4 (PBE)

Data for a relaxed structure of YTc4Ge4.

Cell: 6.195 6.195 8.192 Å, 90.00 90.00 90.00°
Positions (direct):
Y 0.250 0.750 0.250
Y 0.750 0.250 0.750
Tc 0.000 0.250 0.128
Tc 0.000 0.750 0.872
Tc 0.250 0.000 0.628
Tc 0.250 0.500 0.628
Tc 0.500 0.250 0.128
Tc 0.500 0.750 0.872
Tc 0.750 0.000 0.372
Tc 0.750 0.500 0.372
Ge 0.047 0.250 0.430
Ge 0.250 0.047 0.930
Ge 0.250 0.453 0.930
Ge 0.453 0.250 0.430
Ge 0.547 0.750 0.570
Ge 0.750 0.547 0.070
Ge 0.750 0.953 0.070
Ge 0.953 0.750 0.570

- Electronic total energy: -7.513 eV per atom
- Formation energy: -0.14 eV/atom
- Space group: No. 137
- Calculated volume: 157 Å³/f.u.
- Crystal system: tetragonal

---

## Tb14NdSm (PBE)

Data for a relaxed structure of Tb14NdSm.

Cell: 11.551 7.171 7.171 Å, 60.04 90.00 90.00°
Positions (direct):
Tb 0.000 0.000 0.000
Tb 0.000 0.000 0.500
Tb 0.000 0.500 0.000
Tb 0.000 0.500 0.500
Tb 0.248 0.333 0.833
Tb 0.248 0.833 0.333
Tb 0.249 0.333 0.333
Tb 0.249 0.834 0.834
Tb 0.500 0.167 0.667
Tb 0.500 0.667 0.167
Tb 0.751 0.333 0.333
Tb 0.751 0.834 0.834
Tb 0.752 0.333 0.833
Tb 0.752 0.833 0.333
Nd 0.500 0.666 0.666
Sm 0.500 0.167 0.167

- Electronic total energy: -4.642 eV per atom
- Formation energy: 0.00 eV/atom
- Space group: No. 38
- Calculated volume: 515 Å³/f.u.
- Crystal system: orthorhombic

---

## CeGa3CuNi (PBE)

Data for a relaxed structure of CeGa3CuNi.

Cell: 6.608 6.608 6.055 Å, 90.00 90.00 125.90°
Positions (direct):
Ce 0.230 0.770 0.750
Ce 0.770 0.230 0.250
Ga 0.213 0.213 0.000
Ga 0.213 0.213 0.500
Ga 0.349 0.651 0.250
Ga 0.651 0.349 0.750
Ga 0.787 0.787 0.000
Ga 0.787 0.787 0.500
Cu 0.139 0.861 0.250
Cu 0.861 0.139 0.750
Ni 0.440 0.560 0.750
Ni 0.560 0.440 0.250

- Electronic total energy: -4.398 eV per atom
- Formation energy: -0.25 eV/atom
- Space group: No. 63
- Calculated volume: 107 Å³/f.u.
- Crystal system: orthorhombic

---

calculated volume of number 2 (Tb14NdSm)? 515 Å³/f.u.